The following is a DFT calculation (GGA+U) of a geometry-optimized LiMnBiO4 structure.

extended XYZ file:
```
14
Lattice="3.0362 -4.2563 0.0000 3.0362 4.2563 0.0000 0.0000 0.0000 7.1345" Properties=species:S:1:pos:R:3 pbc="T T T"
Li 3.0362 2.9123 5.3509
Li 3.0362 -2.9123 1.7836
Mn 3.0362 2.9127 1.7836
Mn 3.0362 -2.9127 5.3509
Bi 3.0362 0.0000 0.0000
Bi 3.0362 0.0000 3.5672
O 3.0362 2.2412 0.0502
O 3.0362 2.2412 3.5171
O 1.5638 0.1240 5.3509
O 1.5638 -0.1240 1.7836
O 4.5086 0.1240 5.3509
O 4.5086 -0.1240 1.7836
O 3.0362 -2.2412 3.6174
O 3.0362 -2.2412 7.0843
```

## Properties
crystal system: orthorhombic
calculated volume: 184 Å³/cell
total DFT energy (no corrections): -84.1 eV for the cell shown